InFe2Cl (PBE, relaxed); symmetry = No. 225; theoretical density = 6385 kg/m3; M_tot = 5.2 μB/cell; distance to the lowest polymorph of the same formula = 618 meV per atom
1.0
-1.950 -4.135 -0.347
0.556 -3.084 3.346
-3.530 -1.104 2.709
Fe In Cl
2 1 1
Direct
0.750 0.750 0.750
0.250 0.250 0.250
0.500 0.500 0.500
0.000 0.000 0.000



InFeCl2 (PBE, relaxed); symmetry = No. 44; theoretical density = 4029 kg/m3; M_tot = 3.0 μB/cell; distance to the lowest polymorph of the same formula = 217 meV per atom
1.0
-2.623 3.671 -3.782
-4.843 -2.946 -1.590
2.904 2.829 4.269
Cl In Fe
2 1 1
Direct
0.318 0.818 0.500
0.960 0.960 0.000
0.729 0.229 0.500
0.494 0.494 0.000



InFeCl2 (PBE, relaxed); symmetry = No. 122; theoretical density = 4119 kg/m3; M_tot = 6.0 μB/cell; distance to the lowest polymorph of the same formula = 94 meV per atom
1.0
-4.905 -0.384 6.015
4.220 -5.756 3.074
1.444 -0.909 6.139
Cl Fe In
4 2 2
Direct
0.875 0.763 0.750
0.237 0.625 0.250
0.513 0.125 0.250
0.375 0.487 0.750
0.500 0.500 0.000
0.250 0.750 0.500
0.750 0.250 0.500
0.000 0.000 0.000



InFe2Cl (PBE, relaxed); symmetry = No. 99; theoretical density = 5735 kg/m3; M_tot = 5.6 μB/cell; distance to the lowest polymorph of the same formula = 30 meV per atom
1.0
-2.255 1.799 -1.181
-2.147 -1.999 1.054
-0.373 3.948 6.725
Fe In Cl
2 1 1
Direct
0.500 0.500 0.191
0.000 0.000 0.036
0.000 0.000 0.414
0.500 0.500 0.859



InFeCl (PBE, relaxed); symmetry = No. 42; theoretical density = 5104 kg/m3; M_tot = 3.1 μB/cell; uncorrected energy = -4.2895 eV/atom
1.0
-5.024 4.714 -3.136
-6.756 3.067 -1.242
0.124 2.423 1.848
Fe Cl In
1 1 1
Direct
0.649 0.649 0.351
0.056 0.056 0.944
0.295 0.295 0.705



InFeCl2 (PBE, relaxed); symmetry = No. 6; theoretical density = 3862 kg/m3; M_tot = 3.5 μB/cell; distance to the lowest polymorph of the same formula = 54 meV per atom
1.0
-1.014 -1.130 -3.005
1.878 -2.751 0.401
-6.242 -5.516 4.180
Fe Cl In
1 2 1
Direct
0.000 0.578 0.249
0.000 0.156 0.074
0.500 0.493 0.423
0.500 0.273 0.754



KInFe2Cl8 (PBE, relaxed); symmetry = No. 148; theoretical density = 2403 kg/m3; M_tot = 10.0 μB/cell; uncorrected energy = -3.9837 eV/atom
1.0
6.821 0.000 0.000
3.411 5.907 0.000
3.411 1.969 9.419
Fe Cl In K
2 8 1 1
Direct
0.242 0.242 0.273
0.758 0.758 0.727
0.062 0.453 0.802
0.835 0.835 0.494
0.938 0.547 0.198
0.317 0.938 0.198
0.165 0.165 0.506
0.547 0.317 0.198
0.453 0.683 0.802
0.683 0.062 0.802
0.000 0.000 0.000
0.500 0.500 0.500



KInFe2Cl6 (PBE, relaxed); symmetry = No. 15; theoretical density = 2509 kg/m3; M_tot = 16.0 μB/cell; uncorrected energy = -4.1573 eV/atom
1.0
-5.448 -6.396 -4.495
6.987 -2.268 -6.069
2.060 -4.160 5.363
Cl K Fe In
12 2 4 2
Direct
0.272 0.477 0.330
0.361 0.902 0.650
0.806 0.892 0.943
0.477 0.272 0.830
0.108 0.194 0.557
0.892 0.806 0.443
0.728 0.523 0.670
0.098 0.639 0.850
0.639 0.098 0.350
0.523 0.728 0.170
0.194 0.108 0.057
0.902 0.361 0.150
0.810 0.190 0.750
0.190 0.810 0.250
0.879 0.705 0.726
0.705 0.879 0.226
0.295 0.121 0.774
0.121 0.295 0.274
0.403 0.597 0.750
0.597 0.403 0.250